No. 1
Entry from Alexandria: K3Mn2F7 at its PBEsol-relaxed geometry (meta-GGA SCAN).

a = 4.1737 Å, b = 4.1737 Å, c = 11.0956 Å
α = 100.84°, β = 100.84°, γ = 90.00°
With the nearest neighbours (Å) after each atom.
Fractional coordinates of all 12 atoms:
K: 0.6848 0.6848 0.3696  5 F 2.56-2.82
K: 0.3152 0.3152 0.6304  5 F 2.56-2.82
K: 0.5000 0.5000 0.0000  12 F 2.93-2.95
Mn: 0.9014 0.9014 0.8029  6 F 2.07-2.11
Mn: 0.0986 0.0986 0.1971  6 F 2.07-2.11
F: 0.0000 0.0000 0.0000  2 Mn 2.11
F: 0.0964 0.5964 0.1929  2 Mn 2.09
F: 0.5964 0.0964 0.1929  2 Mn 2.09
F: 0.9036 0.4036 0.8071  2 Mn 2.09
F: 0.4036 0.9036 0.8071  2 Mn 2.09
F: 0.8045 0.8045 0.6089  1 Mn 2.07
F: 0.1955 0.1955 0.3911  1 Mn 2.07

Values from the calculation:
- Crystal system: tetragonal
- E_tot: -10.1608 eV per atom
- N(E_F): 0.0 states/eV/cell
- Raw formation energy: -2.971 eV/atom


No. 2
Entry from Alexandria: Er2Ge5Rh3 at its PBEsol-relaxed geometry (meta-GGA SCAN).

a = 5.7597 Å, b = 8.2122 Å, c = 8.2122 Å
α = 94.40°, β = 108.65°, γ = 108.65°
With the nearest neighbours (Å) after each atom.
Fractional coordinates of all 20 atoms:
Er: 0.7367 0.5902 0.8707  10 Ge 2.98-3.34, 4 Rh 3.11-3.23
Er: 0.7633 0.1293 0.4098  10 Ge 2.98-3.34, 4 Rh 3.11-3.23
Er: 0.2633 0.4098 0.1293  10 Ge 2.98-3.34, 4 Rh 3.11-3.23
Er: 0.2367 0.8707 0.5902  10 Ge 2.98-3.34, 4 Rh 3.11-3.23
Ge: 0.1699 0.0779 0.2657  3 Rh 2.37-2.53, 1 Ge 2.64
Ge: 0.7500 0.7946 0.2054  3 Rh 2.39-2.46, 2 Ge 2.64
Ge: 0.2500 0.2054 0.7946  3 Rh 2.39-2.46, 2 Ge 2.64
Ge: 0.7500 0.4863 0.5137  4 Rh 2.43-2.46
Ge: 0.2500 0.5137 0.4863  4 Rh 2.43-2.46
Ge: 0.7500 0.2211 0.7789  3 Rh 2.52-2.68, 2 Ge 2.66
Ge: 0.2500 0.7789 0.2211  3 Rh 2.52-2.68, 2 Ge 2.66
Ge: 0.6699 0.2657 0.0779  3 Rh 2.37-2.53, 1 Ge 2.64
Ge: 0.8301 0.9221 0.7343  3 Rh 2.37-2.53, 1 Ge 2.64
Ge: 0.3301 0.7343 0.9221  3 Rh 2.37-2.53, 1 Ge 2.64
Rh: 0.7500 0.9990 0.0010  6 Ge 2.46-2.68
Rh: 0.2500 0.0010 0.9990  6 Ge 2.46-2.68
Rh: 0.8744 0.5473 0.2617  5 Ge 2.37-2.52
Rh: 0.6256 0.7383 0.4527  5 Ge 2.37-2.52
Rh: 0.1256 0.4527 0.7383  5 Ge 2.37-2.52
Rh: 0.3744 0.2617 0.5473  5 Ge 2.37-2.52

Values from the calculation:
- Crystal system: monoclinic
- E_tot: -30.6540 eV per atom
- N(E_F): 8.4 states/eV/cell
- DFT formation energy: -911 meV per atom